Record 1
# PrErSe (PBE, relaxed)
# E (eV per atom): -5.359
data_PrErSe
_chemical_formula_sum 'Pr1 Er1 Se1'
_cell_length_a 3.9197
_cell_length_b 3.9197
_cell_length_c 6.7111
_cell_angle_alpha 90.00
_cell_angle_beta 90.00
_cell_angle_gamma 120.00
_symmetry_space_group_name_H-M 'P 3 m 1'
_symmetry_Int_Tables_number 156
loop_
_symmetry_equiv_pos_as_xyz
'x,y,z'
'-y,x-y,z'
'-x+y,-x,z'
'-y,-x,z'
'-x+y,y,z'
'x,x-y,z'
loop_
_atom_site_label
_atom_site_type_symbol
_atom_site_fract_x
_atom_site_fract_y
_atom_site_fract_z
Pr1 Pr 0.0000 0.0000 0.0000
Er1 Er 0.3333 0.6667 0.4458
Se1 Se 0.6667 0.3333 0.7052

***

Record 2
# PrEr6Se8 (PBE, relaxed)
# E (eV per atom): -5.604
data_PrEr6Se8
_chemical_formula_sum 'Pr3 Er18 Se24'
_cell_length_a 8.6550
_cell_length_b 8.6550
_cell_length_c 17.3206
_cell_angle_alpha 90.00
_cell_angle_beta 90.00
_cell_angle_gamma 120.00
_symmetry_space_group_name_H-M 'R -3'
_symmetry_Int_Tables_number 148
_symmetry_space_group_name_Hall '-R 3'
loop_
_atom_site_label
_atom_site_type_symbol
_atom_site_fract_x
_atom_site_fract_y
_atom_site_fract_z
Pr1 Pr 0.0000 0.0000 0.0000
Er1 Er 0.0032 0.6246 0.9212
Se1 Se 0.0000 0.0000 0.3262
Se2 Se 0.0098 0.7166 0.0924

***

Record 3
# Pr5Er3Se8 (PBE, relaxed)
# E (eV per atom): -5.877
data_Pr5Er3Se8
_chemical_formula_sum 'Pr15 Er9 Se24'
_cell_length_a 8.2807
_cell_length_b 8.2807
_cell_length_c 20.9387
_cell_angle_alpha 90.00
_cell_angle_beta 90.00
_cell_angle_gamma 120.00
_symmetry_space_group_name_H-M 'R -3 m'
_symmetry_Int_Tables_number 166
_symmetry_space_group_name_Hall '-R 3 2"'
loop_
_atom_site_label
_atom_site_type_symbol
_atom_site_fract_x
_atom_site_fract_y
_atom_site_fract_z
Pr1 Pr 0.0000 0.0000 0.0000
Pr2 Pr 0.0000 0.0000 0.5000
Pr3 Pr 0.0000 0.5000 0.0000
Er1 Er 0.0000 0.5000 0.5000
Se1 Se 0.0000 0.0000 0.2427
Se2 Se 0.0099 0.5050 0.7552

***

Record 4
# PrEr2Se4 (PBE, relaxed)
# E (eV per atom): -5.835
data_PrEr2Se4
_chemical_formula_sum 'Pr4 Er8 Se16'
_cell_length_a 4.024
_cell_length_b 13.416
_cell_length_c 13.835
_cell_angle_alpha 90.00
_cell_angle_beta 90.00
_cell_angle_gamma 90.00
_symmetry_space_group_name_H-M 'C m c m'
_symmetry_Int_Tables_number 63
_symmetry_space_group_name_Hall '-C 2c 2'
loop_
_atom_site_label
_atom_site_type_symbol
_atom_site_fract_x
_atom_site_fract_y
_atom_site_fract_z
Pr1 Pr 0.000 0.124 0.250
Er1 Er 0.000 0.369 0.068
Se1 Se 0.000 0.000 0.000
Se2 Se 0.000 0.273 0.618
Se3 Se 0.000 0.458 0.250

***

Record 5
# Pr3Er2Se6 (PBE, relaxed)
# E (eV per atom): -5.849
data_Pr3Er2Se6
_chemical_formula_sum 'Pr9 Er6 Se18'
_cell_length_a 4.1723
_cell_length_b 4.1723
_cell_length_c 62.6416
_cell_angle_alpha 90.00
_cell_angle_beta 90.00
_cell_angle_gamma 120.00
_symmetry_space_group_name_H-M 'R -3 m'
_symmetry_Int_Tables_number 166
_symmetry_space_group_name_Hall '-R 3 2"'
loop_
_atom_site_label
_atom_site_type_symbol
_atom_site_fract_x
_atom_site_fract_y
_atom_site_fract_z
Pr1 Pr 0.0000 0.0000 0.0000
Pr2 Pr 0.0000 0.0000 0.2768
Er1 Er 0.0000 0.0000 0.4488
Se1 Se 0.0000 0.0000 0.0866
Se2 Se 0.0000 0.0000 0.1965
Se3 Se 0.0000 0.0000 0.3619

***

Record 6
# PrEr2Se (PBE, relaxed)
# E (eV per atom): -4.919
data_PrEr2Se
_chemical_formula_sum 'Pr3 Er6 Se3'
_cell_length_a 3.6933
_cell_length_b 3.6933
_cell_length_c 31.3974
_cell_angle_alpha 90.00
_cell_angle_beta 90.00
_cell_angle_gamma 120.00
_symmetry_space_group_name_H-M 'R -3 m'
_symmetry_Int_Tables_number 166
_symmetry_space_group_name_Hall '-R 3 2"'
loop_
_atom_site_label
_atom_site_type_symbol
_atom_site_fract_x
_atom_site_fract_y
_atom_site_fract_z
Pr1 Pr 0.0000 0.0000 0.0000
Er1 Er 0.0000 0.0000 0.1095
Se1 Se 0.0000 0.0000 0.5000

***

The highest E belongs to which entry? PrEr2Se

***

The lowest E belongs to which entry? Pr5Er3Se8

***

Repeat the first record exactly.
# PrErSe (PBE, relaxed)
# E (eV per atom): -5.359
data_PrErSe
_chemical_formula_sum 'Pr1 Er1 Se1'
_cell_length_a 3.9197
_cell_length_b 3.9197
_cell_length_c 6.7111
_cell_angle_alpha 90.00
_cell_angle_beta 90.00
_cell_angle_gamma 120.00
_symmetry_space_group_name_H-M 'P 3 m 1'
_symmetry_Int_Tables_number 156
loop_
_symmetry_equiv_pos_as_xyz
'x,y,z'
'-y,x-y,z'
'-x+y,-x,z'
'-y,-x,z'
'-x+y,y,z'
'x,x-y,z'
loop_
_atom_site_label
_atom_site_type_symbol
_atom_site_fract_x
_atom_site_fract_y
_atom_site_fract_z
Pr1 Pr 0.0000 0.0000 0.0000
Er1 Er 0.3333 0.6667 0.4458
Se1 Se 0.6667 0.3333 0.7052

***

The highest E belongs to which entry? PrEr2Se